Here is a relaxed structure of MnBe2Nb2Co5 from the Alexandria database. Energies are from PBE.

Structure (extended XYZ):
```
20
Lattice="8.669 0.000 0.000 0.000 8.669 0.000 0.000 0.000 3.065" Properties=species:S:1:pos:R:3 pbc="T T T"
Mn 0.000 0.000 0.000
Mn 4.335 4.335 0.000
Be 1.030 3.304 0.000
Be 3.304 7.639 0.000
Be 5.365 1.030 0.000
Be 7.639 5.365 0.000
Nb 1.532 5.867 0.000
Nb 2.802 1.532 0.000
Nb 5.867 7.137 0.000
Nb 7.137 2.802 0.000
Co 0.000 4.335 1.532
Co 0.579 1.841 1.532
Co 1.841 8.090 1.532
Co 2.493 3.755 1.532
Co 3.755 6.176 1.532
Co 4.335 0.000 1.532
Co 4.914 2.493 1.532
Co 6.176 4.914 1.532
Co 6.828 0.579 1.532
Co 8.090 6.828 1.532
```

Computed properties:
The formation enthalpy at 0 K is -204 meV per atom. The space group is P4/mbm. The calculation puts the volume at 11.52 A^3/atom. The calculation puts the total energy at -148.67 eV/cell.